Record 1
## CaMn2I (GGA-PBE)

Data for crystalline CaMn2I at its relaxed geometry.

Cell: 8.4893 8.4893 5.9633 Å, 90.00 90.00 90.00°
Closest atoms and distances in Å follow each position.
Space group I-42d (No. 122)
Unique sites:
Ca: 0.0000 0.0000 0.0000 x4  2 I 2.98, 4 Mn 3.28
Mn: 0.2186 0.2500 0.6250 x8  2 I 2.92, 2 Mn 3.03
I: 0.0000 0.0000 0.5000 x4  4 Mn 2.92, 2 Ca 2.98

Output
- E above lowest polymorph (kJ per mole of atoms) = 0.00
- uncorrected formation energy (eV/atom) = 0.52


Record 2
## MgRhPb2O6 (GGA-PBE)

Data for crystalline MgRhPb2O6 at its relaxed geometry.

Cell: 5.5284 5.6754 9.6634 Å, 90.00 124.59 90.00°
Closest atoms and distances in Å follow each position.
Space group P2_1/c (No. 14)
Unique sites:
Mg: 0.0000 0.0000 0.0000 x2  6 O 2.11-2.16
Rh: 0.5000 0.0000 0.5000 x2  6 O 2.01-2.02
Pb: 0.2326 0.0484 0.7475 x4  5 O 2.32-2.60
O: 0.1550 0.1976 0.4464 x4  1 Rh 2.01, 1 Mg 2.11
O: 0.2491 0.7116 0.4424 x4  1 Rh 2.01, 1 Mg 2.13
O: 0.3645 0.0453 0.2589 x4  1 Rh 2.02, 1 Mg 2.16

Output
- uncorrected formation energy (eV/atom) = -1.24


Record 3
## SmTlCd (GGA-PBE)

Data for crystalline SmTlCd at its relaxed geometry.

Cell: 5.3556 9.2131 6.4841 Å, 90.00 90.00 90.00°
Closest atoms and distances in Å follow each position.
Space group Cmcm (No. 63)
Unique sites:
Sm: 0.0000 0.1665 0.2500 x4  5 Tl 3.08-3.24
Tl: 0.0000 0.1674 0.7500 x4  5 Sm 3.08-3.24
Cd: 0.0000 0.5000 0.0000 x4  2 Cd 3.24, 6 Tl 3.47-3.49, 6 Sm 3.47-3.49

Output
- energy relative to the elements (meV per atom) = -312


Record 4
## Cs3NaBe (GGA-PBE)

Data for crystalline Cs3NaBe at its relaxed geometry.

Cell: 7.1839 7.1839 7.1839 Å, 90.00 90.00 90.00°
Closest atoms and distances in Å follow each position.
Space group Pm-3m (No. 221)
Unique sites:
Cs: 0.0000 0.0000 0.5000 x3  2 Be 3.59
Na: 0.5000 0.5000 0.5000 x1  12 Cs 5.08
Be: 0.0000 0.0000 0.0000 x1  6 Cs 3.59

Output
- E above lowest polymorph (kJ per mole of atoms) = 0.00
- energy relative to the elements (meV per atom) = 521


Record 5
## NaCdSn (GGA-PBE)

Data for crystalline NaCdSn at its relaxed geometry.

Cell: 8.9804 5.1911 8.0778 Å, 90.00 116.32 90.00°
Closest atoms and distances in Å follow each position.
Space group C2/m (No. 12)
Unique sites:
Na: 0.2459 0.0000 0.3581 x4  4 Sn 3.21-3.31, 3 Cd 3.30-3.34, 2 Na 3.44
Cd: 0.1640 0.0000 0.8416 x4  4 Sn 2.98-3.14, 3 Na 3.30-3.34
Sn: 0.0106 0.5000 0.1920 x4  4 Cd 2.98-3.14, 1 Sn 3.02, 4 Na 3.21-3.31

Output
- E above lowest polymorph (kJ per mole of atoms) = 4.42
- energy relative to the elements (meV per atom) = -130


Record 6
## LiDy2Ge3Ir4 (GGA-PBE)

Data for crystalline LiDy2Ge3Ir4 at its relaxed geometry.

Cell: 4.1045 4.1045 10.5417 Å, 90.00 90.00 90.00°
Closest atoms and distances in Å follow each position.
Space group P-4m2 (No. 115)
Unique sites:
Li: 0.0000 0.0000 0.0000 x1  4 Ir 2.52
Dy: 0.0000 0.5000 0.7501 x2  8 Ir 3.13-3.34, 6 Ge 3.16-3.34, 2 Li 3.34
Ge: 0.0000 0.5000 0.3687 x2  5 Ir 2.42-2.48
Ge: 0.5000 0.5000 0.0000 x1  4 Ir 2.52
Ir: 0.0000 0.0000 0.5000 x1  4 Ge 2.48
Ir: 0.0000 0.5000 0.1390 x2  3 Ge 2.42-2.52, 2 Li 2.52
Ir: 0.5000 0.5000 0.5000 x1  4 Ge 2.48

Output
- energy relative to the elements (meV per atom) = -720